Below is a geometry-optimized CsNa2OsO structure, with properties calculated at the PBE level.

Calculated values
- raw formation energy (kJ/mol of formula units) = 308
- magnetic moment (μB/cell) = 3.00
- symmetry = P4/mmm (123)
- volume (Å³/atom) = 22.58

Lattice parameters (Å, degrees): 4.4438 4.4438 5.7163 90.00 90.00 90.00
Closest atoms and distances in Å follow each position.
Fractional positions:
Cs 0.0000 0.0000 0.0000  2 O 2.86, 4 Os 3.14
Na 0.0000 0.5000 0.5000  2 O 2.22
Na 0.5000 0.0000 0.5000  2 O 2.22
Os 0.5000 0.5000 0.0000  4 Cs 3.14
O 0.0000 0.0000 0.5000  4 Na 2.22



Below is a geometry-optimized CsNaOs2O8 structure, with properties calculated at the PBE level.

Calculated values
- raw formation energy (kJ/mol of formula units) = -1451
- magnetic moment (μB/cell) = 2.03
- symmetry = P-3 (147)
- volume (Å³/atom) = 22.58

Lattice parameters (Å, degrees): 6.1041 6.1041 8.3982 90.00 90.00 120.00
Closest atoms and distances in Å follow each position.
Fractional positions:
Cs 0.0000 0.0000 0.0000  12 O 3.26-3.54
Na 0.0000 0.0000 0.5000  6 O 2.39
Os 0.3333 0.6667 0.7464  4 O 1.76-1.77
Os 0.6667 0.3333 0.2536  4 O 1.76-1.77
O 0.1715 0.3497 0.6806  1 Os 1.76
O 0.1782 0.8285 0.6806  1 Os 1.76
O 0.3333 0.6667 0.9570  1 Os 1.77
O 0.3497 0.1782 0.3194  1 Os 1.76
O 0.6503 0.8218 0.6806  1 Os 1.76
O 0.6667 0.3333 0.0430  1 Os 1.77
O 0.8218 0.1715 0.3194  1 Os 1.76
O 0.8285 0.6503 0.3194  1 Os 1.76



Below is a geometry-optimized CsNa2OsO6 structure, with properties calculated at the PBE level.

Calculated values
- raw formation energy (kJ/mol of formula units) = -1136
- magnetic moment (μB/cell) = 1.05
- symmetry = C2/m (12)
- volume (Å³/atom) = 17.67

Lattice parameters (Å, degrees): 6.4957 6.4957 5.8317 115.63 115.63 55.39
Closest atoms and distances in Å follow each position.
Fractional positions:
Cs 0.0000 0.0000 0.0000  4 O 3.05
Na 0.2706 0.2706 0.6859  5 O 2.30-2.44
Na 0.7294 0.7294 0.3141  5 O 2.30-2.44
Os 0.5000 0.5000 0.5000  6 O 1.86-1.87
O 0.1675 0.6030 0.5031  1 Os 1.87
O 0.3970 0.8325 0.4969  1 Os 1.87
O 0.4074 0.4074 0.1347  1 Os 1.86
O 0.5926 0.5926 0.8653  1 Os 1.86
O 0.6030 0.1675 0.5031  1 Os 1.87
O 0.8325 0.3970 0.4969  1 Os 1.87



Below is a geometry-optimized CsNa2OsO4 structure, with properties calculated at the PBE level.

Calculated values
- raw formation energy (kJ/mol of formula units) = -1005
- magnetic moment (μB/cell) = 1.00
- symmetry = Immm (71)
- volume (Å³/atom) = 17.54

Lattice parameters (Å, degrees): 6.4422 6.4422 6.4422 141.01 121.69 72.39
Closest atoms and distances in Å follow each position.
Fractional positions:
Cs 0.0000 0.0000 0.0000  8 O 3.12
Na 0.2750 0.7750 0.5000  2 O 2.39
Na 0.7250 0.2250 0.5000  2 O 2.39
Os 0.5000 0.5000 0.0000  4 O 1.86
O 0.1649 0.3726 0.7924  1 Os 1.86
O 0.4198 0.6274 0.7924  1 Os 1.86
O 0.5802 0.3726 0.2076  1 Os 1.86
O 0.8351 0.6274 0.2076  1 Os 1.86



Below is a geometry-optimized Cs2NaOs3O12 structure, with properties calculated at the PBE level.

Calculated values
- raw formation energy (kJ/mol of formula units) = -2126
- magnetic moment (μB/cell) = 0.00
- symmetry = R-3m (166)
- volume (Å³/atom) = 16.89

Lattice parameters (Å, degrees): 7.7439 7.7439 7.7439 56.79 56.79 56.79
Closest atoms and distances in Å follow each position.
Fractional positions:
Cs 0.1152 0.1152 0.1152  9 O 3.29-3.63
Cs 0.8848 0.8848 0.8848  9 O 3.29-3.63
Na 0.5000 0.5000 0.5000  6 O 2.32
Os 0.0000 0.5000 0.5000  6 O 1.80-1.94
Os 0.5000 0.0000 0.5000  6 O 1.80-1.94
Os 0.5000 0.5000 0.0000  6 O 1.80-1.94
O 0.1422 0.5654 0.5654  1 Os 1.80
O 0.1925 0.1925 0.5746  2 Os 1.94
O 0.1925 0.5746 0.1925  2 Os 1.94
O 0.4254 0.8075 0.8075  2 Os 1.94
O 0.4346 0.4346 0.8578  1 Os 1.80
O 0.4346 0.8578 0.4346  1 Os 1.80
O 0.5654 0.1422 0.5654  1 Os 1.80
O 0.5654 0.5654 0.1422  1 Os 1.80
O 0.5746 0.1925 0.1925  2 Os 1.94
O 0.8075 0.4254 0.8075  2 Os 1.94
O 0.8075 0.8075 0.4254  2 Os 1.94
O 0.8578 0.4346 0.4346  1 Os 1.80



Below is a geometry-optimized Cs3NaOs2O9 structure, with properties calculated at the PBE level.

Calculated values
- raw formation energy (kJ/mol of formula units) = -1814
- magnetic moment (μB/cell) = 0.00
- symmetry = P-3m1 (164)
- volume (Å³/atom) = 15.66

Lattice parameters (Å, degrees): 5.9751 5.9751 7.5985 90.00 90.00 120.00
Closest atoms and distances in Å follow each position.
Fractional positions:
Cs 0.0000 0.0000 0.0000  12 O 2.91-2.99
Cs 0.3333 0.6667 0.6537  12 O 3.03-3.18
Cs 0.6667 0.3333 0.3463  12 O 3.03-3.18
Na 0.0000 0.0000 0.5000  6 O 2.52
Os 0.3333 0.6667 0.1534  3 O 1.83
Os 0.6667 0.3333 0.8466  3 O 1.83
O 0.0000 0.5000 0.0000  2 Os 2.08
O 0.1864 0.3728 0.2864  1 Os 1.83
O 0.1864 0.8136 0.2864  1 Os 1.83
O 0.3728 0.1864 0.7136  1 Os 1.83
O 0.5000 0.0000 0.0000  2 Os 2.08
O 0.5000 0.5000 0.0000  2 Os 2.08
O 0.6272 0.8136 0.2864  1 Os 1.83
O 0.8136 0.1864 0.7136  1 Os 1.83
O 0.8136 0.6272 0.7136  1 Os 1.83



Below is a geometry-optimized Cs3NaOs2O8 structure, with properties calculated at the PBE level.

Calculated values
- raw formation energy (kJ/mol of formula units) = -1827
- magnetic moment (μB/cell) = 4.00
- symmetry = P-3m1 (164)
- volume (Å³/atom) = 21.49

Lattice parameters (Å, degrees): 6.4179 6.4179 8.4343 90.00 90.00 120.00
Closest atoms and distances in Å follow each position.
Fractional positions:
Cs 0.0000 0.0000 0.0000  12 O 3.32-3.71
Cs 0.3333 0.6667 0.6661  7 O 2.96-3.22
Cs 0.6667 0.3333 0.3339  7 O 2.96-3.22
Na 0.0000 0.0000 0.5000  6 O 2.56
Os 0.3333 0.6667 0.2294  4 O 1.79-1.83
Os 0.6667 0.3333 0.7706  4 O 1.79-1.83
O 0.1814 0.3628 0.3129  1 Os 1.83
O 0.1814 0.8186 0.3129  1 Os 1.83
O 0.3333 0.6667 0.0174  1 Os 1.79
O 0.3628 0.1814 0.6871  1 Os 1.83
O 0.6372 0.8186 0.3129  1 Os 1.83
O 0.6667 0.3333 0.9826  1 Os 1.79
O 0.8186 0.1814 0.6871  1 Os 1.83
O 0.8186 0.6372 0.6871  1 Os 1.83



Below is a geometry-optimized Cs2Na2OsO6 structure, with properties calculated at the PBE level.

Calculated values
- raw formation energy (kJ/mol of formula units) = -1422
- magnetic moment (μB/cell) = 0.16
- symmetry = C2/m (12)
- volume (Å³/atom) = 18.70

Lattice parameters (Å, degrees): 5.8974 5.8974 7.0175 100.10 100.10 116.60
Closest atoms and distances in Å follow each position.
Fractional positions:
Cs 0.1763 0.8237 0.0000  6 O 2.91-3.15
Cs 0.8237 0.1763 0.0000  6 O 2.91-3.15
Na 0.3395 0.6605 0.5000  6 O 2.43-2.62
Na 0.6605 0.3395 0.5000  6 O 2.43-2.62
Os 0.0000 0.0000 0.5000  6 O 1.88-1.90
O 0.0485 0.3156 0.6662  1 Os 1.88
O 0.1983 0.1983 0.3441  1 Os 1.90
O 0.3156 0.0485 0.6662  1 Os 1.88
O 0.6844 0.9515 0.3338  1 Os 1.88
O 0.8017 0.8017 0.6559  1 Os 1.90
O 0.9515 0.6844 0.3338  1 Os 1.88



Below is a geometry-optimized Cs2Na3OsO6 structure, with properties calculated at the PBE level.

Calculated values
- raw formation energy (kJ/mol of formula units) = -1536
- magnetic moment (μB/cell) = 1.04
- symmetry = C2/m (12)
- volume (Å³/atom) = 18.25

Lattice parameters (Å, degrees): 7.1639 7.1639 5.7249 100.35 100.35 125.80
Closest atoms and distances in Å follow each position.
Fractional positions:
Cs 0.1765 0.8235 0.0000  6 O 2.92-3.09
Cs 0.8235 0.1765 0.0000  6 O 2.92-3.09
Na 0.0000 0.0000 0.5000  4 O 2.45
Na 0.3871 0.6129 0.5000  4 O 2.28-2.30
Na 0.6129 0.3871 0.5000  4 O 2.28-2.30
Os 0.5000 0.5000 0.0000  6 O 1.92-1.94
O 0.2111 0.4239 0.7708  1 Os 1.94
O 0.3065 0.3065 0.1804  1 Os 1.92
O 0.4239 0.2111 0.7708  1 Os 1.94
O 0.5761 0.7889 0.2292  1 Os 1.94
O 0.6935 0.6935 0.8196  1 Os 1.92
O 0.7889 0.5761 0.2292  1 Os 1.94



Below is a geometry-optimized CsNa3Pa4O12 structure, with properties calculated at the PBE level.

Calculated values
- raw formation energy (kJ/mol of formula units) = -5927
- magnetic moment (μB/cell) = 0.00
- symmetry = Im-3 (204)
- volume (Å³/atom) = 15.71

Lattice parameters (Å, degrees): 7.4178 7.4178 7.4178 109.47 109.47 109.47
Closest atoms and distances in Å follow each position.
Fractional positions:
Cs 0.0000 0.0000 0.0000  12 O 3.07
Na 0.0000 0.5000 0.5000  4 O 2.52
Na 0.5000 0.0000 0.5000  4 O 2.52
Na 0.5000 0.5000 0.0000  4 O 2.52
Pa 0.0000 0.0000 0.5000  6 O 2.20
Pa 0.0000 0.5000 0.0000  6 O 2.20
Pa 0.5000 0.0000 0.0000  6 O 2.20
Pa 0.5000 0.5000 0.5000  6 O 2.20
O 0.0836 0.7917 0.2920  2 Pa 2.20
O 0.2083 0.2920 0.5003  2 Pa 2.20
O 0.2083 0.7080 0.9164  2 Pa 2.20
O 0.2920 0.0836 0.7917  2 Pa 2.20
O 0.2920 0.5003 0.2083  2 Pa 2.20
O 0.5003 0.2083 0.2920  2 Pa 2.20
O 0.4997 0.7917 0.7080  2 Pa 2.20
O 0.7080 0.4997 0.7917  2 Pa 2.20
O 0.7080 0.9164 0.2083  2 Pa 2.20
O 0.7917 0.2920 0.0836  2 Pa 2.20
O 0.7917 0.7080 0.4997  2 Pa 2.20
O 0.9164 0.2083 0.7080  2 Pa 2.20



Below is a geometry-optimized Cs2NaPa2O7 structure, with properties calculated at the PBE level.

Calculated values
- raw formation energy (kJ/mol of formula units) = -3124
- magnetic moment (μB/cell) = 0.00
- symmetry = I4/mmm (139)
- volume (Å³/atom) = 19.46

Lattice parameters (Å, degrees): 12.3994 12.3994 12.3994 159.51 159.51 29.14
Closest atoms and distances in Å follow each position.
Fractional positions:
Cs 0.1907 0.1907 0.0000  9 O 3.14-3.34
Cs 0.8093 0.8093 0.0000  9 O 3.14-3.34
Na 0.0000 0.0000 0.0000  12 O 3.02-3.12
Pa 0.4104 0.4104 0.0000  6 O 2.04-2.21
Pa 0.5896 0.5896 0.0000  6 O 2.04-2.21
O 0.0860 0.5860 0.5000  2 Pa 2.21
O 0.3255 0.3255 0.0000  1 Pa 2.04
O 0.4140 0.9140 0.5000  2 Pa 2.21
O 0.5000 0.5000 0.0000  2 Pa 2.15
O 0.5860 0.0860 0.5000  2 Pa 2.21
O 0.6745 0.6745 0.0000  1 Pa 2.04
O 0.9140 0.4140 0.5000  2 Pa 2.21



Below is a geometry-optimized Cs4NaPa3O12 structure, with properties calculated at the PBE level.

Calculated values
- raw formation energy (kJ/mol of formula units) = -4660
- magnetic moment (μB/cell) = 0.00
- symmetry = Im-3m (229)
- volume (Å³/atom) = 18.85

Lattice parameters (Å, degrees): 7.8827 7.8827 7.8827 109.47 109.47 109.47
Closest atoms and distances in Å follow each position.
Fractional positions:
Cs 0.0000 0.0000 0.5000  12 O 3.22-3.23
Cs 0.0000 0.5000 0.0000  12 O 3.22-3.23
Cs 0.5000 0.0000 0.0000  12 O 3.22-3.23
Cs 0.5000 0.5000 0.5000  12 O 3.22-3.23
Na 0.0000 0.0000 0.0000  6 O 2.58
Pa 0.0000 0.5000 0.5000  2 O 1.97
Pa 0.5000 0.0000 0.5000  2 O 1.97
Pa 0.5000 0.5000 0.0000  2 O 1.97
O 0.0000 0.2835 0.2835  1 Pa 1.97
O 0.0000 0.7165 0.7165  1 Pa 1.97
O 0.2500 0.5000 0.7500  2 Pa 2.28
O 0.2500 0.7500 0.5000  2 Pa 2.28
O 0.2835 0.0000 0.2835  1 Pa 1.97
O 0.2835 0.2835 0.0000  1 Pa 1.97
O 0.5000 0.2500 0.7500  2 Pa 2.28
O 0.5000 0.7500 0.2500  2 Pa 2.28
O 0.7165 0.0000 0.7165  1 Pa 1.97
O 0.7165 0.7165 0.0000  1 Pa 1.97
O 0.7500 0.2500 0.5000  2 Pa 2.28
O 0.7500 0.5000 0.2500  2 Pa 2.28